1.
Density functional theory data (GGA-PBE) for an optimized crystal structure of Tb2Er2Zn3.

Summary:
Density = 8.1 g/cm³
Energy of formation from the pure elements = -1.4 eV per formula unit

Lattice parameters (Å, degrees): 4.9821 4.9821 24.2640 90.00 90.00 120.00
Space group R-3m (No. 166, hexagonal axes)
Unique sites:
Tb (0.0000, 0.0000, 0.1266) x6
Er (0.0000, 0.0000, 0.3775) x6
Zn (0.0000, 0.0000, 0.0000) x3
Zn (0.0000, 0.0000, 0.2530) x6

=====

2.
Density functional theory data (GGA-PBE) for an optimized crystal structure of TbEr4Zn.

Summary:
Density = 8.8 g/cm³
Energy of formation from the pure elements = -0.6 eV per formula unit

Lattice parameters (Å, degrees): 3.5210 3.5210 13.5960 90.00 90.00 90.00
Space group P4/mmm (No. 123)
Unique sites:
Tb (0.0000, 0.0000, 0.0000) x1
Er (0.0000, 0.0000, 0.3700) x2
Er (0.5000, 0.5000, 0.1839) x2
Zn (0.5000, 0.5000, 0.5000) x1

=====

3.
Density functional theory data (GGA-PBE) for an optimized crystal structure of Tb7ErZn4.

Summary:
Density = 8.1 g/cm³
Energy of formation from the pure elements = 0.0 eV per formula unit

Lattice parameters (Å, degrees): 13.9747 5.5278 9.7585 90.00 122.99 90.00
Space group C2/m (No. 12)
Unique sites:
Tb (0.0000, 0.0000, 0.0000) x2
Tb (0.0701, 0.5000, 0.4028) x4
Tb (0.2088, 0.5000, 0.8804) x4
Tb (0.2226, 0.0000, 0.6721) x4
Er (0.0000, 0.5000, 0.0000) x2
Zn (0.0431, 0.0000, 0.7365) x4
Zn (0.1781, 0.0000, 0.3382) x4

=====

4.
Density functional theory data (GGA-PBE) for an optimized crystal structure of TbErZn4.

Summary:
Density = 8.5 g/cm³
Energy of formation from the pure elements = -2.0 eV per formula unit

Lattice parameters (Å, degrees): 7.7066 7.7066 7.7066 90.00 90.00 90.00
Space group F-43m (No. 216)
Unique sites:
Tb (0.0000, 0.0000, 0.0000) x4
Er (0.2500, 0.2500, 0.7500) x4
Zn (0.1250, 0.1250, 0.3750) x16